First-principles (PBE) data for TcSb3 after structural relaxation, as listed in Alexandria via LeMat-Bulk.

Results
SG: R-3m, No. 166
Uncorrected formation energy: 0.15 eV/atom
Total moment: 0.000 μB/cell

a = 9.6477 Å, b = 9.6477 Å, c = 9.6477 Å
α = 20.10°, β = 20.10°, γ = 20.10°
With the nearest neighbours (Å) after each atom.
Sites, in units of the cell vectors:
Sb 0.7341 0.7341 0.7341  3 Tc 2.73
Sb 0.5000 0.5000 0.5000  12 Sb 3.37-3.42
Sb 0.2659 0.2659 0.2659  3 Tc 2.73
Tc 0.0000 0.0000 0.0000  6 Sb 2.73